Model P:
Entry from Alexandria: a relaxed CdSb2TeSe crystal (PBE).

```
data_CdSb2TeSe
_chemical_formula_sum 'Cd1 Sb2 Te1 Se1'
_symmetry_space_group_name_H-M 'P 4/m m m'
_symmetry_Int_Tables_number 123
_symmetry_space_group_name_Hall '-P 4 2'
_cell_length_a 5.491
_cell_length_b 5.491
_cell_length_c 5.470
_cell_angle_alpha 90.00
_cell_angle_beta 90.00
_cell_angle_gamma 90.00
loop_
_atom_site_label
_atom_site_type_symbol
_atom_site_fract_x
_atom_site_fract_y
_atom_site_fract_z
Cd1 Cd 0.000 0.000 0.000
Sb1 Sb 0.000 0.500 0.500
Te1 Te 0.500 0.500 0.000
Se1 Se 0.500 0.500 0.500
```


Model Q:
Entry from Alexandria: a relaxed CdSb2TeSe crystal (PBE).

```
data_CdSb2TeSe
_chemical_formula_sum 'Cd1 Sb2 Te1 Se1'
_symmetry_space_group_name_H-M 'P 4/m m m'
_symmetry_Int_Tables_number 123
_symmetry_space_group_name_Hall '-P 4 2'
_cell_length_a 5.556
_cell_length_b 5.556
_cell_length_c 5.410
_cell_angle_alpha 90.00
_cell_angle_beta 90.00
_cell_angle_gamma 90.00
loop_
_atom_site_label
_atom_site_type_symbol
_atom_site_fract_x
_atom_site_fract_y
_atom_site_fract_z
Cd1 Cd 0.000 0.000 0.000
Sb1 Sb 0.000 0.500 0.000
Te1 Te 0.000 0.000 0.500
Se1 Se 0.500 0.500 0.500
```


model P wins, 25.4 kJ/mol of atoms ahead of the next structure.


Model P:
Entry from Alexandria: a relaxed Cd2SiSb crystal (PBE).

```
data_Cd2SiSb
_chemical_formula_sum 'Cd8 Si4 Sb4'
_symmetry_space_group_name_H-M 'F m m m'
_symmetry_Int_Tables_number 69
_symmetry_space_group_name_Hall '-F 2 2'
_cell_length_a 5.828
_cell_length_b 5.876
_cell_length_c 10.969
_cell_angle_alpha 90.00
_cell_angle_beta 90.00
_cell_angle_gamma 90.00
loop_
_atom_site_label
_atom_site_type_symbol
_atom_site_fract_x
_atom_site_fract_y
_atom_site_fract_z
Cd1 Cd 0.000 0.250 0.250
Si1 Si 0.000 0.000 0.000
Sb1 Sb 0.000 0.000 0.500
```


Model Q:
Entry from Alexandria: a relaxed Cd2SiSb crystal (PBE).

```
data_Cd2SiSb
_chemical_formula_sum 'Cd4 Si2 Sb2'
_symmetry_space_group_name_H-M 'C 1 m 1'
_symmetry_Int_Tables_number 8
_symmetry_space_group_name_Hall 'C -2y'
_cell_length_a 7.266
_cell_length_b 3.183
_cell_length_c 8.265
_cell_angle_alpha 90.00
_cell_angle_beta 97.75
_cell_angle_gamma 90.00
loop_
_atom_site_label
_atom_site_type_symbol
_atom_site_fract_x
_atom_site_fract_y
_atom_site_fract_z
Cd1 Cd 0.000 0.000 0.000
Cd2 Cd 0.239 0.500 0.263
Si1 Si 0.482 0.000 0.493
Sb1 Sb 0.232 0.000 0.709
```


Model R:
Entry from Alexandria: a relaxed Cd2SiSb crystal (PBE).

```
data_Cd2SiSb
_chemical_formula_sum 'Cd8 Si4 Sb4'
_symmetry_space_group_name_H-M 'I -4 2 d'
_symmetry_Int_Tables_number 122
_symmetry_space_group_name_Hall 'I -4 2bw'
_cell_length_a 6.304
_cell_length_b 6.304
_cell_length_c 12.408
_cell_angle_alpha 90.00
_cell_angle_beta 90.00
_cell_angle_gamma 90.00
loop_
_atom_site_label
_atom_site_type_symbol
_atom_site_fract_x
_atom_site_fract_y
_atom_site_fract_z
Cd1 Cd 0.217 0.250 0.125
Si1 Si 0.000 0.000 0.000
Sb1 Sb 0.000 0.000 0.500
```


model Q wins, 5.3 kJ/mol of atoms ahead of the next structure.


Model P:
Entry from Alexandria: a relaxed Cd2SiSb crystal (PBE).

```
data_Cd2SiSb
_chemical_formula_sum 'Cd4 Si2 Sb2'
_symmetry_space_group_name_H-M 'C m m m'
_symmetry_Int_Tables_number 65
_symmetry_space_group_name_Hall '-C 2 2'
_cell_length_a 5.884
_cell_length_b 10.071
_cell_length_c 3.133
_cell_angle_alpha 90.00
_cell_angle_beta 90.00
_cell_angle_gamma 90.00
loop_
_atom_site_label
_atom_site_type_symbol
_atom_site_fract_x
_atom_site_fract_y
_atom_site_fract_z
Cd1 Cd 0.250 0.250 0.000
Si1 Si 0.000 0.000 0.500
Sb1 Sb 0.000 0.500 0.500
```


Model Q:
Entry from Alexandria: a relaxed Cd2SiSb crystal (PBE).

```
data_Cd2SiSb
_chemical_formula_sum 'Cd2 Si1 Sb1'
_symmetry_space_group_name_H-M 'P 4/m m m'
_symmetry_Int_Tables_number 123
_symmetry_space_group_name_Hall '-P 4 2'
_cell_length_a 3.248
_cell_length_b 3.248
_cell_length_c 8.656
_cell_angle_alpha 90.00
_cell_angle_beta 90.00
_cell_angle_gamma 90.00
loop_
_atom_site_label
_atom_site_type_symbol
_atom_site_fract_x
_atom_site_fract_y
_atom_site_fract_z
Cd1 Cd 0.000 0.000 0.216
Si1 Si 0.500 0.500 0.000
Sb1 Sb 0.500 0.500 0.500
```


Model R:
Entry from Alexandria: a relaxed Cd2SiSb crystal (PBE).

```
data_Cd2SiSb
_chemical_formula_sum 'Cd2 Si1 Sb1'
_symmetry_space_group_name_H-M 'P m m 2'
_symmetry_Int_Tables_number 25
_symmetry_space_group_name_Hall 'P 2 -2'
_cell_length_a 3.116
_cell_length_b 3.643
_cell_length_c 8.043
_cell_angle_alpha 90.00
_cell_angle_beta 90.00
_cell_angle_gamma 90.00
loop_
_atom_site_label
_atom_site_type_symbol
_atom_site_fract_x
_atom_site_fract_y
_atom_site_fract_z
Cd1 Cd 0.000 0.000 0.000
Cd2 Cd 0.500 0.500 0.257
Si1 Si 0.500 0.500 0.772
Sb1 Sb 0.000 0.000 0.557
```


Model S:
Entry from Alexandria: a relaxed Cd2SiSb crystal (PBE).

```
data_Cd2SiSb
_chemical_formula_sum 'Cd6 Si3 Sb3'
_symmetry_space_group_name_H-M 'R -3 m'
_symmetry_Int_Tables_number 166
_symmetry_space_group_name_Hall '-R 3 2"'
_cell_length_a 3.5214
_cell_length_b 3.5214
_cell_length_c 26.4109
_cell_angle_alpha 90.00
_cell_angle_beta 90.00
_cell_angle_gamma 120.00
loop_
_atom_site_label
_atom_site_type_symbol
_atom_site_fract_x
_atom_site_fract_y
_atom_site_fract_z
Cd1 Cd 0.0000 0.0000 0.2397
Si1 Si 0.0000 0.0000 0.5000
Sb1 Sb 0.0000 0.0000 0.0000
```


model R wins, 2.0 kJ/mol of atoms ahead of the next structure.


Model P:
Entry from Alexandria: a relaxed Cd2SiSb crystal (PBE).

```
data_Cd2SiSb
_chemical_formula_sum 'Cd4 Si2 Sb2'
_symmetry_space_group_name_H-M 'C m m m'
_symmetry_Int_Tables_number 65
_symmetry_space_group_name_Hall '-C 2 2'
_cell_length_a 4.299
_cell_length_b 4.962
_cell_length_c 8.601
_cell_angle_alpha 90.00
_cell_angle_beta 90.00
_cell_angle_gamma 90.00
loop_
_atom_site_label
_atom_site_type_symbol
_atom_site_fract_x
_atom_site_fract_y
_atom_site_fract_z
Cd1 Cd 0.000 0.000 0.218
Si1 Si 0.000 0.500 0.000
Sb1 Sb 0.000 0.500 0.500
```


Model Q:
Entry from Alexandria: a relaxed Cd2SiSb crystal (PBE).

```
data_Cd2SiSb
_chemical_formula_sum 'Cd2 Si1 Sb1'
_symmetry_space_group_name_H-M 'P 1 m 1'
_symmetry_Int_Tables_number 6
_symmetry_space_group_name_Hall 'P -2y'
_cell_length_a 2.917
_cell_length_b 3.894
_cell_length_c 8.416
_cell_angle_alpha 90.00
_cell_angle_beta 92.50
_cell_angle_gamma 90.00
loop_
_atom_site_label
_atom_site_type_symbol
_atom_site_fract_x
_atom_site_fract_y
_atom_site_fract_z
Cd1 Cd 0.000 0.000 0.000
Cd2 Cd 0.469 0.500 0.761
Si1 Si 0.383 0.500 0.232
Sb1 Sb 0.399 0.000 0.463
```


model Q wins, 8.0 kJ/mol of atoms ahead of the next structure.